1.
{
  "formula": "USiBi",
  "functional": "PBE",
  "state": "relaxed",
  "energy_ev_per_atom": -6.533,
  "vol_a3_per_cell": 314.3,
  "lattice_angstrom": [[6.799, 0.000, 0.000], [0.000, 6.799, 0.000], [0.000, 0.000, 6.799]],
  "species": ["U", "U", "U", "U", "Si", "Si", "Si", "Si", "Bi", "Bi", "Bi", "Bi"],
  "frac_coords": [[0.000, 0.000, 0.000], [0.000, 0.500, 0.500], [0.500, 0.000, 0.500], [0.500, 0.500, 0.000], [0.250, 0.250, 0.750], [0.250, 0.750, 0.250], [0.750, 0.250, 0.250], [0.750, 0.750, 0.750], [0.000, 0.000, 0.500], [0.000, 0.500, 0.000], [0.500, 0.000, 0.000], [0.500, 0.500, 0.500]]
}

2.
{
  "formula": "USiBi",
  "functional": "PBE",
  "state": "relaxed",
  "energy_ev_per_atom": -6.392,
  "vol_a3_per_cell": 344.9,
  "lattice_angstrom": [[7.013, 0.000, 0.000], [0.000, 7.013, 0.000], [0.000, 0.000, 7.013]],
  "species": ["U", "U", "U", "U", "Si", "Si", "Si", "Si", "Bi", "Bi", "Bi", "Bi"],
  "frac_coords": [[0.000, 0.000, 0.000], [0.000, 0.500, 0.500], [0.500, 0.000, 0.500], [0.500, 0.500, 0.000], [0.250, 0.250, 0.250], [0.250, 0.750, 0.750], [0.750, 0.250, 0.750], [0.750, 0.750, 0.250], [0.250, 0.250, 0.750], [0.250, 0.750, 0.250], [0.750, 0.250, 0.250], [0.750, 0.750, 0.750]]
}

3.
{
  "formula": "SiBiW",
  "functional": "PBE",
  "state": "relaxed",
  "energy_ev_per_atom": -6.464,
  "vol_a3_per_cell": 269.3,
  "lattice_angstrom": [[6.458, 0.000, 0.000], [0.000, 6.458, 0.000], [0.000, 0.000, 6.458]],
  "species": ["Si", "Si", "Si", "Si", "Bi", "Bi", "Bi", "Bi", "W", "W", "W", "W"],
  "frac_coords": [[0.000, 0.000, 0.000], [0.000, 0.500, 0.500], [0.500, 0.000, 0.500], [0.500, 0.500, 0.000], [0.000, 0.000, 0.500], [0.000, 0.500, 0.000], [0.500, 0.000, 0.000], [0.500, 0.500, 0.500], [0.250, 0.250, 0.750], [0.250, 0.750, 0.250], [0.750, 0.250, 0.250], [0.750, 0.750, 0.750]]
}

4.
{
  "formula": "ZnSiBi2",
  "functional": "PBE",
  "state": "relaxed",
  "energy_ev_per_atom": -3.222,
  "vol_a3_per_cell": 403.0,
  "lattice_angstrom": [[7.386, 0.000, 0.000], [0.000, 7.386, 0.000], [0.000, 0.000, 7.386]],
  "species": ["Zn", "Zn", "Zn", "Zn", "Si", "Si", "Si", "Si", "Bi", "Bi", "Bi", "Bi", "Bi", "Bi", "Bi", "Bi"],
  "frac_coords": [[0.000, 0.000, 0.000], [0.000, 0.500, 0.500], [0.500, 0.000, 0.500], [0.500, 0.500, 0.000], [0.250, 0.250, 0.750], [0.250, 0.750, 0.250], [0.750, 0.250, 0.250], [0.750, 0.750, 0.750], [0.000, 0.000, 0.500], [0.000, 0.500, 0.000], [0.250, 0.250, 0.250], [0.250, 0.750, 0.750], [0.500, 0.000, 0.000], [0.500, 0.500, 0.500], [0.750, 0.250, 0.750], [0.750, 0.750, 0.250]]
}

5.
{
  "formula": "ZrSi2Bi",
  "functional": "PBE",
  "state": "relaxed",
  "energy_ev_per_atom": -5.396,
  "vol_a3_per_cell": 342.6,
  "lattice_angstrom": [[6.997, 0.000, 0.000], [0.000, 6.997, 0.000], [0.000, 0.000, 6.997]],
  "species": ["Zr", "Zr", "Zr", "Zr", "Si", "Si", "Si", "Si", "Si", "Si", "Si", "Si", "Bi", "Bi", "Bi", "Bi"],
  "frac_coords": [[0.000, 0.000, 0.000], [0.000, 0.500, 0.500], [0.500, 0.000, 0.500], [0.500, 0.500, 0.000], [0.000, 0.000, 0.500], [0.000, 0.500, 0.000], [0.250, 0.250, 0.750], [0.250, 0.750, 0.250], [0.500, 0.000, 0.000], [0.500, 0.500, 0.500], [0.750, 0.250, 0.250], [0.750, 0.750, 0.750], [0.250, 0.250, 0.250], [0.250, 0.750, 0.750], [0.750, 0.250, 0.750], [0.750, 0.750, 0.250]]
}

6.
{
  "formula": "Sm2Bi",
  "functional": "PBE",
  "state": "relaxed",
  "energy_ev_per_atom": -4.600,
  "vol_a3_per_cell": 185.8,
  "lattice_angstrom": [[0.000, 4.529, 4.529], [4.529, 0.000, 4.529], [4.529, 4.529, 0.000]],
  "species": ["Sm", "Sm", "Sm", "Sm", "Bi", "Bi"],
  "frac_coords": [[0.000, 0.000, 0.000], [0.000, 0.000, 0.500], [0.000, 0.500, 0.000], [0.500, 0.000, 0.000], [0.375, 0.375, 0.375], [0.625, 0.625, 0.625]]
}

What did the fifth record say?
{
  "formula": "ZrSi2Bi",
  "functional": "PBE",
  "state": "relaxed",
  "energy_ev_per_atom": -5.396,
  "vol_a3_per_cell": 342.6,
  "lattice_angstrom": [[6.997, 0.000, 0.000], [0.000, 6.997, 0.000], [0.000, 0.000, 6.997]],
  "species": ["Zr", "Zr", "Zr", "Zr", "Si", "Si", "Si", "Si", "Si", "Si", "Si", "Si", "Bi", "Bi", "Bi", "Bi"],
  "frac_coords": [[0.000, 0.000, 0.000], [0.000, 0.500, 0.500], [0.500, 0.000, 0.500], [0.500, 0.500, 0.000], [0.000, 0.000, 0.500], [0.000, 0.500, 0.000], [0.250, 0.250, 0.750], [0.250, 0.750, 0.250], [0.500, 0.000, 0.000], [0.500, 0.500, 0.500], [0.750, 0.250, 0.250], [0.750, 0.750, 0.750], [0.250, 0.250, 0.250], [0.250, 0.750, 0.750], [0.750, 0.250, 0.750], [0.750, 0.750, 0.250]]
}